Entry 1:
Here is a geometry-optimized SmZnRu structure from the Alexandria database. Energies are from GGA-PBE.

## Properties
Energy of formation from the pure elements in eV per atom: -0.1334
Density of states at the Fermi level in states/eV per cell: 8.16
VASP energy in Ha/atom: -0.192

The structure in CIF format:
```
data_SmZnRu
_space_group_name_H-M_alt 'I m m a'
_space_group_IT_number 74
_space_group_name_Hall '-I 2b 2'
_cell_length_a 4.9052
_cell_length_b 8.1873
_cell_length_c 6.6135
_cell_angle_alpha 90.00
_cell_angle_beta 90.00
_cell_angle_gamma 90.00
loop_
_atom_site_label
_atom_site_type_symbol
_atom_site_fract_x
_atom_site_fract_y
_atom_site_fract_z
Sm1 Sm 0.0000 0.0000 0.0000
Zn1 Zn 0.0000 0.2500 0.3917
Ru1 Ru 0.2500 0.2500 0.7500
```


Entry 2:
Here is a geometry-optimized Sm2Zn3Ru structure from the Alexandria database. Energies are from GGA-PBE.

## Properties
Energy of formation from the pure elements in eV per atom: -0.1120
Density of states at the Fermi level in states/eV per cell: 5.30
VASP energy in Ha/atom: -0.142
ΔE to the lowest computed polymorph in meV per atom: 182

The structure in CIF format:
```
data_Sm2Zn3Ru
_space_group_name_H-M_alt 'I m m m'
_space_group_IT_number 71
_space_group_name_Hall '-I 2 2'
_cell_length_a 4.8123
_cell_length_b 5.3669
_cell_length_c 10.0487
_cell_angle_alpha 90.00
_cell_angle_beta 90.00
_cell_angle_gamma 90.00
loop_
_atom_site_label
_atom_site_type_symbol
_atom_site_fract_x
_atom_site_fract_y
_atom_site_fract_z
Sm1 Sm 0.0000 0.0000 0.2137
Zn1 Zn 0.0000 0.5000 0.1149
Zn2 Zn 0.0000 0.5000 0.5000
Ru1 Ru 0.0000 0.0000 0.5000
```


Entry 3:
Here is a geometry-optimized Sm7Zn2Ru2 structure from the Alexandria database. Energies are from GGA-PBE.

## Properties
Energy of formation from the pure elements in eV per atom: -0.1356
Density of states at the Fermi level in states/eV per cell: 19.59
VASP energy in Ha/atom: -0.186

The structure in CIF format:
```
data_Sm7Zn2Ru2
_space_group_name_H-M_alt 'C m m m'
_space_group_IT_number 65
_space_group_name_Hall '-C 2 2'
_cell_length_a 7.7087
_cell_length_b 11.1625
_cell_length_c 7.1751
_cell_angle_alpha 90.00
_cell_angle_beta 90.00
_cell_angle_gamma 90.00
loop_
_atom_site_label
_atom_site_type_symbol
_atom_site_fract_x
_atom_site_fract_y
_atom_site_fract_z
Sm1 Sm 0.0000 0.0000 0.0000
Sm2 Sm 0.0000 0.5000 0.2522
Sm3 Sm 0.2500 0.2500 0.2632
Zn1 Zn 0.1638 0.0000 0.5000
Ru1 Ru 0.0000 0.3021 0.0000
```


Entry 4:
Here is a geometry-optimized Sm2Zn3Ru structure from the Alexandria database. Energies are from GGA-PBE.

## Properties
Energy of formation from the pure elements in eV per atom: -0.2940
Density of states at the Fermi level in states/eV per cell: 33.06
VASP energy in Ha/atom: -0.149
ΔE to the lowest computed polymorph in meV per atom: 0

The structure in CIF format:
```
data_Sm2Zn3Ru
_space_group_name_H-M_alt 'F m m m'
_space_group_IT_number 69
_space_group_name_Hall '-F 2 2'
_cell_length_a 7.3526
_cell_length_b 8.9853
_cell_length_c 15.1538
_cell_angle_alpha 90.00
_cell_angle_beta 90.00
_cell_angle_gamma 90.00
loop_
_atom_site_label
_atom_site_type_symbol
_atom_site_fract_x
_atom_site_fract_y
_atom_site_fract_z
Sm1 Sm 0.2413 0.0000 0.0000
Sm2 Sm 0.2500 0.2500 0.2500
Zn1 Zn 0.0000 0.0000 0.3305
Zn2 Zn 0.0000 0.2477 0.4162
Ru1 Ru 0.0000 0.0000 0.1602
```


Entry 5:
Here is a geometry-optimized Sm6Zn2Ru structure from the Alexandria database. Energies are from GGA-PBE.

## Properties
Energy of formation from the pure elements in eV per atom: -0.1712
Density of states at the Fermi level in states/eV per cell: 19.51
VASP energy in Ha/atom: -0.170

The structure in CIF format:
```
data_Sm6Zn2Ru
_space_group_name_H-M_alt 'P 1 21/c 1'
_space_group_IT_number 14
_cell_length_a 6.2311
_cell_length_b 9.2915
_cell_length_c 10.0525
_cell_angle_alpha 90.00
_cell_angle_beta 121.05
_cell_angle_gamma 90.00
loop_
_space_group_symop_operation_xyz
'x,y,z'
'-x,-y,-z'
'-x,y+1/2,-z+1/2'
'x,-y+1/2,z+1/2'
loop_
_atom_site_label
_atom_site_type_symbol
_atom_site_fract_x
_atom_site_fract_y
_atom_site_fract_z
Sm1 Sm 0.0601 0.1898 0.4754
Sm2 Sm 0.3621 0.6689 0.4533
Sm3 Sm 0.3964 0.0268 0.2858
Zn1 Zn 0.1057 0.0940 0.7664
Ru1 Ru 0.0000 0.0000 0.0000
```


Entry 6:
Here is a geometry-optimized Sm3Zn3Ru structure from the Alexandria database. Energies are from GGA-PBE.

## Properties
Energy of formation from the pure elements in eV per atom: -0.2961
Density of states at the Fermi level in states/eV per cell: 25.06
VASP energy in Ha/atom: -0.154

The structure in CIF format:
```
data_Sm3Zn3Ru
_space_group_name_H-M_alt 'C 1 2/m 1'
_space_group_IT_number 12
_cell_length_a 10.9739
_cell_length_b 3.9347
_cell_length_c 15.3999
_cell_angle_alpha 90.00
_cell_angle_beta 104.48
_cell_angle_gamma 90.00
loop_
_space_group_symop_operation_xyz
'x,y,z'
'-x,-y,-z'
'-x,y,-z'
'x,-y,z'
'x+1/2,y+1/2,z'
'-x+1/2,-y+1/2,-z'
'-x+1/2,y+1/2,-z'
'x+1/2,-y+1/2,z'
loop_
_atom_site_label
_atom_site_type_symbol
_atom_site_fract_x
_atom_site_fract_y
_atom_site_fract_z
Sm1 Sm 0.0222 0.0000 0.3865
Sm2 Sm 0.1238 0.0000 0.9232
Sm3 Sm 0.2387 0.0000 0.2401
Zn1 Zn 0.0200 0.5000 0.2267
Zn2 Zn 0.0979 0.5000 0.0762
Zn3 Zn 0.1717 0.5000 0.5344
Ru1 Ru 0.2147 0.5000 0.3672
```


Entry 7:
Here is a geometry-optimized Sm6ZnRu2 structure from the Alexandria database. Energies are from GGA-PBE.

## Properties
Energy of formation from the pure elements in eV per atom: -0.2456
Density of states at the Fermi level in states/eV per cell: 32.62
VASP energy in Ha/atom: -0.206
ΔE to the lowest computed polymorph in meV per atom: 0

The structure in CIF format:
```
data_Sm6ZnRu2
_space_group_name_H-M_alt 'I m m m'
_space_group_IT_number 71
_space_group_name_Hall '-I 2 2'
_cell_length_a 9.5112
_cell_length_b 9.6365
_cell_length_c 10.5017
_cell_angle_alpha 90.00
_cell_angle_beta 90.00
_cell_angle_gamma 90.00
loop_
_atom_site_label
_atom_site_type_symbol
_atom_site_fract_x
_atom_site_fract_y
_atom_site_fract_z
Sm1 Sm 0.0000 0.1952 0.2408
Sm2 Sm 0.1867 0.5000 0.1724
Sm3 Sm 0.2207 0.3201 0.5000
Zn1 Zn 0.0000 0.0000 0.0000
Zn2 Zn 0.0000 0.0000 0.5000
Ru1 Ru 0.0000 0.3194 0.0000
Ru2 Ru 0.0000 0.5000 0.3748
```


Entry 8:
Here is a geometry-optimized Sm2ZnRu structure from the Alexandria database. Energies are from GGA-PBE.

## Properties
Energy of formation from the pure elements in eV per atom: -0.3192
Density of states at the Fermi level in states/eV per cell: 6.68
VASP energy in Ha/atom: -0.195
ΔE to the lowest computed polymorph in meV per atom: 0

The structure in CIF format:
```
data_Sm2ZnRu
_space_group_name_H-M_alt 'P 1 21/m 1'
_space_group_IT_number 11
_cell_length_a 5.9277
_cell_length_b 4.2036
_cell_length_c 8.1166
_cell_angle_alpha 90.00
_cell_angle_beta 110.66
_cell_angle_gamma 90.00
loop_
_space_group_symop_operation_xyz
'x,y,z'
'-x,-y,-z'
'-x,y+1/2,-z'
'x,-y+1/2,z'
loop_
_atom_site_label
_atom_site_type_symbol
_atom_site_fract_x
_atom_site_fract_y
_atom_site_fract_z
Sm1 Sm 0.1881 0.2500 0.4164
Sm2 Sm 0.2704 0.7500 0.0580
Zn1 Zn 0.3649 0.7500 0.7143
Ru1 Ru 0.1409 0.2500 0.7817
```


Entry 9:
Here is a geometry-optimized Sm2Zn15Ru2 structure from the Alexandria database. Energies are from GGA-PBE.

## Properties
Energy of formation from the pure elements in eV per atom: -0.2175
Density of states at the Fermi level in states/eV per cell: 17.48
VASP energy in Ha/atom: -0.099

The structure in CIF format:
```
data_Sm2Zn15Ru2
_space_group_name_H-M_alt 'R -3 m'
_space_group_IT_number 166
_space_group_name_Hall '-R 3 2"'
_cell_length_a 9.0126
_cell_length_b 9.0126
_cell_length_c 13.0516
_cell_angle_alpha 90.00
_cell_angle_beta 90.00
_cell_angle_gamma 120.00
loop_
_atom_site_label
_atom_site_type_symbol
_atom_site_fract_x
_atom_site_fract_y
_atom_site_fract_z
Sm1 Sm 0.0000 0.0000 0.1656
Zn1 Zn 0.0000 0.2851 0.5000
Zn2 Zn 0.0000 0.5000 0.0000
Zn3 Zn 0.0014 0.5007 0.3496
Ru1 Ru 0.0000 0.0000 0.3997
```


Entry 10:
Here is a geometry-optimized SmZn3Ru structure from the Alexandria database. Energies are from GGA-PBE.

## Properties
Energy of formation from the pure elements in eV per atom: -0.1373
Density of states at the Fermi level in states/eV per cell: 12.16
VASP energy in Ha/atom: -0.136
ΔE to the lowest computed polymorph in meV per atom: 72

The structure in CIF format:
```
data_SmZn3Ru
_space_group_name_H-M_alt 'I m m a'
_space_group_IT_number 74
_space_group_name_Hall '-I 2b 2'
_cell_length_a 4.9833
_cell_length_b 7.3797
_cell_length_c 9.8345
_cell_angle_alpha 90.00
_cell_angle_beta 90.00
_cell_angle_gamma 90.00
loop_
_atom_site_label
_atom_site_type_symbol
_atom_site_fract_x
_atom_site_fract_y
_atom_site_fract_z
Sm1 Sm 0.0000 0.2500 0.0054
Zn1 Zn 0.0000 0.2500 0.3188
Zn2 Zn 0.2500 0.0480 0.7500
Ru1 Ru 0.0000 0.0000 0.5000
```


Q: energy of formation from the pure elements of number 5 (Sm6Zn2Ru)?
A: -0.1712 eV per atom


Q: Among the records above, which one has the highest energy of formation from the pure elements?
A: number 2


Q: Which of these has the lowest energy of formation from the pure elements?
A: Sm2ZnRu